Compound: AlCoTc2
Source: Alexandria via LeMat-Bulk
Functional: PBE-GGA
Structure: relaxed

Calculated values
The total moment is 0.897 μB per cell. The formation enthalpy at 0 K is -0.04 eV/atom.

Lattice parameters (Å, degrees): 2.745 3.971 4.984 90.00 90.14 90.00
Space group P2/m (No. 10)
Inequivalent atoms, fractional coordinates:
Al: 0.000 0.000 0.000 x1
Co: 0.000 0.000 0.500 x1
Tc: 0.500 0.500 0.248 x2